1.
2
Lattice="-1.834 2.427 1.022 -0.807 -1.605 -2.653 -1.718 -2.570 2.111" Properties=species:S:1:pos:R:3 comment="HgH PBE optimized geometry" relative_energy_mev_per_atom=301 pbc="T T T"
Hg -0.404 -0.802 -1.327
H -1.263 -2.087 -0.271

=====

2.
12
Lattice="0.319 -2.930 4.401 -1.356 -5.119 -0.123 7.850 -4.806 -0.581" Properties=species:S:1:pos:R:3 comment="NaHo3Rh8 PBE optimized geometry" ef_ev_per_fu=-6.8 pbc="T T T"
Na 2.073 -8.855 3.517
Ho 6.455 -7.217 1.102
Ho -0.908 -8.083 4.247
Ho 3.287 -6.397 1.878
Rh 1.157 -5.883 3.978
Rh 4.280 -9.389 1.402
Rh 0.996 -4.409 1.764
Rh 4.440 -10.859 3.610
Rh 3.238 -3.611 0.549
Rh 6.644 -10.039 2.397
Rh 0.314 -6.984 1.703
Rh 5.120 -8.291 3.672